# 1
The following is a PBE calculation of Tl6TeS3 after structural relaxation, from Alexandria.

Its energy relative to the elements, uncorrected is -0.252 eV per atom.

It has space group Cmc2_1 (No. 36), with a = 11.563 Å, b = 13.418 Å, c = 8.709 Å, α = 90.00°, β = 90.00° and γ = 90.00°. The inequivalent atoms are Tl at (0.000, 0.014, 0.000), Tl at (0.000, 0.210, 0.736), Tl at (0.166, 0.467, 0.975), Tl at (0.185, 0.243, 0.349), Te at (0.000, 0.261, 0.062), S at (0.000, 0.348, 0.536) and S at (0.179, 0.087, 0.735).

# 2
The following is a PBE calculation of Tl5Te2S2 after structural relaxation, from Alexandria.

Its energy relative to the elements, uncorrected is -0.200 eV per atom.

It has space group Ima2 (No. 46), with a = 17.490 Å, b = 8.352 Å, c = 8.026 Å, α = 90.00°, β = 90.00° and γ = 90.00°. The inequivalent atoms are Tl at (0.090, 0.233, 0.000), Tl at (0.137, 0.683, 0.917), Tl at (0.250, 0.043, 0.789), Te at (0.000, 0.000, 0.242), Te at (0.250, 0.090, 0.191) and S at (0.058, 0.525, 0.229).

# 3
The following is a PBE calculation of Tl2TeS5 after structural relaxation, from Alexandria.

Its energy relative to the elements, uncorrected is 0.123 eV per atom.

It has space group Cmcm (No. 63), with a = 5.395 Å, b = 13.528 Å, c = 12.602 Å, α = 90.00°, β = 90.00° and γ = 90.00°. The inequivalent atoms are Tl at (0.000, 0.154, 0.053), Te at (0.000, 0.189, 0.750), S at (0.000, 0.050, 0.622), S at (0.000, 0.250, 0.250) and S at (0.000, 0.319, 0.570).